(1)
Ac2MnVS6: relaxed, PBE-GGA.

Cell and atoms, written as POSCAR:
```
Ac2MnVS6
1.0
6.565 0.000 -0.014
0.000 7.100 0.000
0.041 0.000 9.402
Ac Mn V S
4 2 2 12
Cartesian
0.195 6.482 2.348 Ac
3.498 4.168 7.041 Ac
6.411 0.618 7.040 Ac
3.108 2.932 2.346 Ac
3.303 0.000 4.694 Mn
0.000 3.550 0.000 Mn
3.282 0.000 -0.007 V
0.021 3.550 4.701 V
2.039 4.969 0.380 S
5.342 5.681 5.073 S
4.567 2.131 9.007 S
1.264 1.419 4.314 S
2.007 4.909 4.308 S
5.310 5.742 9.002 S
4.599 2.192 5.079 S
1.296 1.358 0.385 S
6.029 3.592 2.345 S
2.768 7.059 7.053 S
0.577 3.509 7.042 S
3.838 0.042 2.334 S
```

Calculated values
The symmetry is No. 14. The value obtained for the uncorrected formation energy is -1.4524 eV per atom. The crystal system is monoclinic.



(2)
BeAl2Tc: relaxed, PBE-GGA.

Cell and atoms, written as POSCAR:
```
BeAl2Tc
1.0
4.010 0.000 0.000
0.000 4.010 0.000
0.000 0.000 3.268
Be Tc Al
1 1 2
Cartesian
2.005 0.000 1.634 Be
0.000 2.005 1.634 Tc
0.000 0.000 0.000 Al
2.005 2.005 0.000 Al
```

Calculated values
The symmetry is No. 123. As for the formation energy: -0.21 eV/atom. The crystal system is tetragonal.



no.,magnetization (μB per formula unit)
1,6.001
2,0.000